1.
A relaxed TaCuOs2 crystal, computed with PBE-GGA.

```
data_TaCuOs2
_cell_length_a 6.196
_cell_length_b 6.196
_cell_length_c 6.196
_cell_angle_alpha 90.00
_cell_angle_beta 90.00
_cell_angle_gamma 90.00
_symmetry_space_group_name_H-M 'F m -3 m'
_symmetry_Int_Tables_number 225
_symmetry_space_group_name_Hall '-F 4 2 3'
loop_
_atom_site_label
_atom_site_fract_x
_atom_site_fract_y
_atom_site_fract_z
Ta1 0.000 0.000 0.000
Cu1 0.000 0.000 0.500
Os1 0.250 0.250 0.250
```

***

2.
A relaxed TaCu2Os crystal, computed with PBE-GGA.

```
data_TaCu2Os
_cell_length_a 3.736
_cell_length_b 3.736
_cell_length_c 4.052
_cell_angle_alpha 90.00
_cell_angle_beta 90.00
_cell_angle_gamma 90.00
_symmetry_space_group_name_H-M 'P 4/m m m'
_symmetry_Int_Tables_number 123
_symmetry_space_group_name_Hall '-P 4 2'
loop_
_atom_site_label
_atom_site_fract_x
_atom_site_fract_y
_atom_site_fract_z
Ta1 0.000 0.000 0.000
Cu1 0.000 0.500 0.500
Os1 0.500 0.500 0.000
```

***

3.
A relaxed TaCuOs2 crystal, computed with PBE-GGA.

```
data_TaCuOs2
_cell_length_a 2.786
_cell_length_b 3.901
_cell_length_c 5.428
_cell_angle_alpha 90.00
_cell_angle_beta 90.00
_cell_angle_gamma 90.00
_symmetry_space_group_name_H-M 'P m m 2'
_symmetry_Int_Tables_number 25
_symmetry_space_group_name_Hall 'P 2 -2'
loop_
_atom_site_label
_atom_site_fract_x
_atom_site_fract_y
_atom_site_fract_z
Ta1 0.000 0.000 0.000
Cu1 0.500 0.500 0.251
Os1 0.000 0.000 0.498
Os2 0.500 0.500 0.729
```

***

4.
A relaxed TaCuOs2 crystal, computed with PBE-GGA.

```
data_TaCuOs2
_cell_length_a 3.953
_cell_length_b 3.953
_cell_length_c 7.588
_cell_angle_alpha 90.00
_cell_angle_beta 90.00
_cell_angle_gamma 90.00
_symmetry_space_group_name_H-M 'I 4/m m m'
_symmetry_Int_Tables_number 139
_symmetry_space_group_name_Hall '-I 4 2'
loop_
_atom_site_label
_atom_site_fract_x
_atom_site_fract_y
_atom_site_fract_z
Ta1 0.000 0.000 0.000
Cu1 0.000 0.000 0.500
Os1 0.000 0.500 0.250
```

***

5.
A relaxed TaCu2Os crystal, computed with PBE-GGA.

```
data_TaCu2Os
_cell_length_a 6.142
_cell_length_b 6.142
_cell_length_c 6.142
_cell_angle_alpha 90.00
_cell_angle_beta 90.00
_cell_angle_gamma 90.00
_symmetry_space_group_name_H-M 'F -4 3 m'
_symmetry_Int_Tables_number 216
_symmetry_space_group_name_Hall 'F -4 2 3'
loop_
_atom_site_label
_atom_site_fract_x
_atom_site_fract_y
_atom_site_fract_z
Ta1 0.000 0.000 0.000
Cu1 0.000 0.000 0.500
Cu2 0.250 0.250 0.250
Os1 0.250 0.250 0.750
```

***

6.
A relaxed TaCu2Os crystal, computed with PBE-GGA.

```
data_TaCu2Os
_cell_length_a 2.697
_cell_length_b 4.019
_cell_length_c 5.218
_cell_angle_alpha 90.00
_cell_angle_beta 90.50
_cell_angle_gamma 90.00
_symmetry_space_group_name_H-M 'P 1 2/m 1'
_symmetry_Int_Tables_number 10
_symmetry_space_group_name_Hall '-P 2y'
loop_
_atom_site_label
_atom_site_fract_x
_atom_site_fract_y
_atom_site_fract_z
Ta1 0.000 0.000 0.000
Cu1 0.499 0.500 0.742
Os1 0.000 0.000 0.500
```

***

7.
A relaxed Ta2CuOs2 crystal, computed with PBE-GGA.

```
data_Ta2CuOs2
_cell_length_a 7.469
_cell_length_b 7.469
_cell_length_c 3.036
_cell_angle_alpha 90.00
_cell_angle_beta 90.00
_cell_angle_gamma 90.00
_symmetry_space_group_name_H-M 'P 4/m b m'
_symmetry_Int_Tables_number 127
_symmetry_space_group_name_Hall '-P 4 2ab'
loop_
_atom_site_label
_atom_site_fract_x
_atom_site_fract_y
_atom_site_fract_z
Ta1 0.157 0.343 0.000
Cu1 0.000 0.000 0.500
Os1 0.141 0.641 0.500
```

***

8.
A relaxed TaCu2Os crystal, computed with PBE-GGA.

```
data_TaCu2Os
_cell_length_a 2.710
_cell_length_b 4.149
_cell_length_c 5.161
_cell_angle_alpha 90.00
_cell_angle_beta 100.20
_cell_angle_gamma 90.00
_symmetry_space_group_name_H-M 'P 1 m 1'
_symmetry_Int_Tables_number 6
_symmetry_space_group_name_Hall 'P -2y'
loop_
_atom_site_label
_atom_site_fract_x
_atom_site_fract_y
_atom_site_fract_z
Ta1 0.000 0.000 0.000
Cu1 0.570 0.500 0.254
Cu2 0.669 0.000 0.489
Os1 0.238 0.500 0.730
```

***

9.
A relaxed TaCuOs3 crystal, computed with PBE-GGA.

```
data_TaCuOs3
_cell_length_a 4.758
_cell_length_b 4.758
_cell_length_c 4.758
_cell_angle_alpha 90.00
_cell_angle_beta 90.00
_cell_angle_gamma 90.00
_symmetry_space_group_name_H-M 'P m -3 m'
_symmetry_Int_Tables_number 221
_symmetry_space_group_name_Hall '-P 4 2 3'
loop_
_atom_site_label
_atom_site_fract_x
_atom_site_fract_y
_atom_site_fract_z
Ta1 0.000 0.000 0.000
Cu1 0.500 0.500 0.500
Os1 0.000 0.000 0.500
```

***

10.
A relaxed TaCuOs2 crystal, computed with PBE-GGA.

```
data_TaCuOs2
_cell_length_a 3.057
_cell_length_b 4.300
_cell_length_c 4.531
_cell_angle_alpha 90.00
_cell_angle_beta 90.00
_cell_angle_gamma 90.00
_symmetry_space_group_name_H-M 'P m m m'
_symmetry_Int_Tables_number 47
_symmetry_space_group_name_Hall '-P 2 2'
loop_
_atom_site_label
_atom_site_fract_x
_atom_site_fract_y
_atom_site_fract_z
Ta1 0.000 0.000 0.000
Cu1 0.500 0.000 0.500
Os1 0.000 0.500 0.500
Os2 0.500 0.500 0.000
```

***

11.
A relaxed TaCu2Os crystal, computed with PBE-GGA.

```
data_TaCu2Os
_cell_length_a 3.710
_cell_length_b 3.742
_cell_length_c 8.120
_cell_angle_alpha 90.00
_cell_angle_beta 90.00
_cell_angle_gamma 90.00
_symmetry_space_group_name_H-M 'I m m m'
_symmetry_Int_Tables_number 71
_symmetry_space_group_name_Hall '-I 2 2'
loop_
_atom_site_label
_atom_site_fract_x
_atom_site_fract_y
_atom_site_fract_z
Ta1 0.000 0.000 0.000
Cu1 0.000 0.500 0.250
Os1 0.000 0.000 0.500
```

***

12.
A relaxed TaCuOs2 crystal, computed with PBE-GGA.

```
data_TaCuOs2
_cell_length_a 2.721
_cell_length_b 4.406
_cell_length_c 4.984
_cell_angle_alpha 90.00
_cell_angle_beta 94.80
_cell_angle_gamma 90.00
_symmetry_space_group_name_H-M 'P 1 2/m 1'
_symmetry_Int_Tables_number 10
_symmetry_space_group_name_Hall '-P 2y'
loop_
_atom_site_label
_atom_site_fract_x
_atom_site_fract_y
_atom_site_fract_z
Ta1 0.000 0.000 0.000
Cu1 0.500 0.000 0.500
Os1 0.275 0.500 0.729
```

***

no.,volume (Å³/f.u.),total magnetic moment (Bohr magnetons per cell),E_form (eV per atom)
1,59.5,0.000,0.0748
2,56.6,0.000,0.0538
3,59.0,0.000,0.0436
4,59.3,0.000,0.0743
5,57.9,0.000,0.1120
6,56.6,0.000,0.1602
7,84.7,0.000,0.0560
8,57.1,0.000,0.0973
9,107.7,2.838,2.3949
10,59.5,0.000,0.2645
11,56.4,0.000,0.0026
12,59.6,0.000,0.1233